# GGA-PBE PF, relaxed
data_PF
_cell_length_a 5.1532
_cell_length_b 7.1252
_cell_length_c 8.7898
_cell_angle_alpha 90.00
_cell_angle_beta 90.00
_cell_angle_gamma 90.00
_symmetry_space_group_name_H-M 'P 21 21 21'
_symmetry_Int_Tables_number 19
_symmetry_space_group_name_Hall 'P 2ac 2ab'
loop_
_atom_site_label
_atom_site_fract_x
_atom_site_fract_y
_atom_site_fract_z
P1 0.0125 0.2279 0.2636
P2 0.2211 0.6752 0.9254
F1 0.0075 0.5699 0.8180
F2 0.1699 0.2713 0.1060
# Calculated volume in Å³ per cell: 323
# Uncorrected energy in eV/atom: -4.702
# Total magnetic moment in μB per atom: 0.000
# Energy relative to the lowest polymorph listed for this composition in meV/atom: 245
# Formation energy without anion corrections in meV per atom: -1061

---

# GGA-PBE PF, relaxed
data_PF
_cell_length_a 4.5175
_cell_length_b 8.4298
_cell_length_c 14.1863
_cell_angle_alpha 90.00
_cell_angle_beta 90.00
_cell_angle_gamma 90.00
_symmetry_space_group_name_H-M 'F d d d'
_symmetry_Int_Tables_number 70
loop_
_symmetry_equiv_pos_as_xyz
'x,y,z'
'-x,-y,-z'
'-x+1/4,-y+1/4,z'
'x+1/4,y+1/4,-z'
'x,-y+1/4,-z+1/4'
'-x,y+1/4,z+1/4'
'-x+1/4,y,-z+1/4'
'x+1/4,-y,z+1/4'
'x,y+1/2,z+1/2'
'-x,-y+1/2,-z+1/2'
'-x+1/4,-y+3/4,z+1/2'
'x+1/4,y+3/4,-z+1/2'
'x,-y+3/4,-z+3/4'
'-x,y+3/4,z+3/4'
'-x+1/4,y+1/2,-z+3/4'
'x+1/4,-y+1/2,z+3/4'
'x+1/2,y,z+1/2'
'-x+1/2,-y,-z+1/2'
'-x+3/4,-y+1/4,z+1/2'
'x+3/4,y+1/4,-z+1/2'
'x+1/2,-y+1/4,-z+3/4'
'-x+1/2,y+1/4,z+3/4'
'-x+3/4,y,-z+3/4'
'x+3/4,-y,z+3/4'
'x+1/2,y+1/2,z'
'-x+1/2,-y+1/2,-z'
'-x+3/4,-y+3/4,z'
'x+3/4,y+3/4,-z'
'x+1/2,-y+3/4,-z+1/4'
'-x+1/2,y+3/4,z+1/4'
'-x+3/4,y+1/2,-z+1/4'
'x+3/4,-y+1/2,z+1/4'
loop_
_atom_site_label
_atom_site_fract_x
_atom_site_fract_y
_atom_site_fract_z
P1 0.1250 0.3166 0.1250
F1 0.1181 0.3750 0.3750
# Calculated volume in Å³ per cell: 540
# Uncorrected energy in eV/atom: -4.031
# Total magnetic moment in μB per atom: 0.000
# Energy relative to the lowest polymorph listed for this composition in meV/atom: 915
# Formation energy without anion corrections in meV per atom: -391

---

# GGA-PBE PF5, relaxed
data_PF5
_cell_length_a 6.1670
_cell_length_b 6.1670
_cell_length_c 4.5447
_cell_angle_alpha 90.00
_cell_angle_beta 90.00
_cell_angle_gamma 90.00
_symmetry_space_group_name_H-M 'I 4'
_symmetry_Int_Tables_number 79
_symmetry_space_group_name_Hall 'I 4'
loop_
_atom_site_label
_atom_site_fract_x
_atom_site_fract_y
_atom_site_fract_z
P1 0.0000 0.0000 0.0000
F1 0.0000 0.0000 0.6592
F2 0.0520 0.7533 0.0731
# Calculated volume in Å³ per cell: 173
# Uncorrected energy in eV/atom: -4.993
# Total magnetic moment in μB per atom: 0.000
# Formation energy without anion corrections in meV per atom: -2532

---

# GGA-PBE PF, relaxed
data_PF
_cell_length_a 11.0810
_cell_length_b 11.0810
_cell_length_c 2.3632
_cell_angle_alpha 90.00
_cell_angle_beta 90.00
_cell_angle_gamma 90.00
_symmetry_space_group_name_H-M 'I 4/m'
_symmetry_Int_Tables_number 87
_symmetry_space_group_name_Hall '-I 4'
loop_
_atom_site_label
_atom_site_fract_x
_atom_site_fract_y
_atom_site_fract_z
P1 0.0133 0.3177 0.0000
F1 0.0767 0.7985 0.0000
# Calculated volume in Å³ per cell: 290
# Uncorrected energy in eV/atom: -4.578
# Total magnetic moment in μB per atom: 0.000
# Energy relative to the lowest polymorph listed for this composition in meV/atom: 368
# Formation energy without anion corrections in meV per atom: -937

---

# GGA-PBE PF, relaxed
data_PF
_cell_length_a 7.2266
_cell_length_b 7.2266
_cell_length_c 7.2266
_cell_angle_alpha 90.00
_cell_angle_beta 90.00
_cell_angle_gamma 90.00
_symmetry_space_group_name_H-M 'I -4 3 m'
_symmetry_Int_Tables_number 217
_symmetry_space_group_name_Hall 'I -4 2 3'
loop_
_atom_site_label
_atom_site_fract_x
_atom_site_fract_y
_atom_site_fract_z
P1 0.1134 0.1134 0.8866
F1 0.2488 0.2488 0.2488
# Calculated volume in Å³ per cell: 377
# Uncorrected energy in eV/atom: -4.189
# Total magnetic moment in μB per atom: 0.000
# Energy relative to the lowest polymorph listed for this composition in meV/atom: 757
# Formation energy without anion corrections in meV per atom: -549

---

# GGA-PBE PF4, relaxed
data_PF4
_cell_length_a 3.8105
_cell_length_b 3.8105
_cell_length_c 3.8105
_cell_angle_alpha 90.00
_cell_angle_beta 90.00
_cell_angle_gamma 90.00
_symmetry_space_group_name_H-M 'P m -3 m'
_symmetry_Int_Tables_number 221
_symmetry_space_group_name_Hall '-P 4 2 3'
loop_
_atom_site_label
_atom_site_fract_x
_atom_site_fract_y
_atom_site_fract_z
P1 0.0000 0.0000 0.0000
F1 0.0000 0.0000 0.5000
F2 0.5000 0.5000 0.5000
# Calculated volume in Å³ per cell: 55
# Uncorrected energy in eV/atom: -3.837
# Total magnetic moment in μB per atom: 0.112
# Energy relative to the lowest polymorph listed for this composition in meV/atom: 948
# Formation energy without anion corrections in meV per atom: -1258

---

# GGA-PBE PF6, relaxed
data_PF6
_cell_length_a 5.9811
_cell_length_b 5.9811
_cell_length_c 5.9811
_cell_angle_alpha 90.00
_cell_angle_beta 90.00
_cell_angle_gamma 90.00
_symmetry_space_group_name_H-M 'I m -3 m'
_symmetry_Int_Tables_number 229
_symmetry_space_group_name_Hall '-I 4 2 3'
loop_
_atom_site_label
_atom_site_fract_x
_atom_site_fract_y
_atom_site_fract_z
P1 0.0000 0.0000 0.0000
F1 0.0000 0.0000 0.2721
# Calculated volume in Å³ per cell: 214
# Uncorrected energy in eV/atom: -4.492
# Total magnetic moment in μB per atom: 0.147
# Formation energy without anion corrections in meV per atom: -2115

---

# GGA-PBE PF, relaxed
data_PF
_cell_length_a 3.6513
_cell_length_b 3.4534
_cell_length_c 5.4276
_cell_angle_alpha 90.00
_cell_angle_beta 90.36
_cell_angle_gamma 90.00
_symmetry_space_group_name_H-M 'P 1 21/m 1'
_symmetry_Int_Tables_number 11
_symmetry_space_group_name_Hall '-P 2yb'
loop_
_atom_site_label
_atom_site_fract_x
_atom_site_fract_y
_atom_site_fract_z
P1 0.2076 0.2500 0.0100
F1 0.2442 0.2500 0.3091
# Calculated volume in Å³ per cell: 68
# Uncorrected energy in eV/atom: -4.946
# Total magnetic moment in μB per atom: 0.000
# Energy relative to the lowest polymorph listed for this composition in meV/atom: 1
# Formation energy without anion corrections in meV per atom: -1305

---

# GGA-PBE P4F, relaxed
data_P4F
_cell_length_a 4.3387
_cell_length_b 4.3387
_cell_length_c 4.3387
_cell_angle_alpha 90.00
_cell_angle_beta 90.00
_cell_angle_gamma 90.00
_symmetry_space_group_name_H-M 'P m -3 m'
_symmetry_Int_Tables_number 221
_symmetry_space_group_name_Hall '-P 4 2 3'
loop_
_atom_site_label
_atom_site_fract_x
_atom_site_fract_y
_atom_site_fract_z
P1 0.0000 0.0000 0.0000
P2 0.0000 0.5000 0.5000
F1 0.5000 0.5000 0.5000
# Calculated volume in Å³ per cell: 82
# Uncorrected energy in eV/atom: -3.658
# Total magnetic moment in μB per atom: 0.000
# Formation energy without anion corrections in meV per atom: 1044

---

# GGA-PBE PF, relaxed
data_PF
_cell_length_a 10.7706
_cell_length_b 10.7706
_cell_length_c 3.2546
_cell_angle_alpha 90.00
_cell_angle_beta 90.00
_cell_angle_gamma 90.00
_symmetry_space_group_name_H-M 'P 4/m n c'
_symmetry_Int_Tables_number 128
_symmetry_space_group_name_Hall '-P 4 2n'
loop_
_atom_site_label
_atom_site_fract_x
_atom_site_fract_y
_atom_site_fract_z
P1 0.0951 0.3084 0.0000
F1 0.1329 0.1618 0.0000
# Calculated volume in Å³ per cell: 378
# Uncorrected energy in eV/atom: -4.943
# Total magnetic moment in μB per atom: 0.000
# Energy relative to the lowest polymorph listed for this composition in meV/atom: 4
# Formation energy without anion corrections in meV per atom: -1302

---

# GGA-PBE PF, relaxed
data_PF
_cell_length_a 4.9465
_cell_length_b 4.9465
_cell_length_c 4.9465
_cell_angle_alpha 90.00
_cell_angle_beta 90.00
_cell_angle_gamma 90.00
_symmetry_space_group_name_H-M 'F m -3 m'
_symmetry_Int_Tables_number 225
_symmetry_space_group_name_Hall '-F 4 2 3'
loop_
_atom_site_label
_atom_site_fract_x
_atom_site_fract_y
_atom_site_fract_z
P1 0.0000 0.0000 0.0000
F1 0.0000 0.0000 0.5000
# Calculated volume in Å³ per cell: 121
# Uncorrected energy in eV/atom: -3.217
# Total magnetic moment in μB per atom: 0.000
# Energy relative to the lowest polymorph listed for this composition in meV/atom: 1729
# Formation energy without anion corrections in meV per atom: 423